Entry 1:
LiLa2SnO5 | PBE | optimized geometry

Its volume is 16.70 A^3/atom. Its formation energy without anion corrections is -2239 meV per atom.

The space group is P4/mbm (No. 127) and the conventional cell measures 6.938, 6.938 and 6.247 Å, with angles of 90.00, 90.00 and 90.00 degrees. The inequivalent atoms are Li at (0.000, 0.000, 0.000), La at (0.181, 0.319, 0.500), Sn at (0.000, 0.500, 0.000), O at (0.000, 0.000, 0.500) and O at (0.142, 0.642, 0.251).

***

Entry 2:
BaZr3P | PBE | optimized geometry

Its volume is 26.81 A^3/atom. As for the offset from the most stable computed form: 0 meV/atom. The formation energy comes out at -79.5 meV/atom.

The space group is Pm-3m (No. 221) and the conventional cell measures 5.118, 5.118 and 5.118 Å, with angles of 90.00, 90.00 and 90.00 degrees. The inequivalent atoms are Ba at (0.000, 0.000, 0.000), Zr at (0.000, 0.500, 0.500) and P at (0.500, 0.500, 0.500).

***

Entry 3:
Pm3Al7Pd4 | PBE | optimized geometry

Its volume is 19.23 A^3/atom. The formation energy comes out at -775.8 meV/atom.

The space group is C2/m (No. 12) and the conventional cell measures 15.860, 4.343 and 9.508 Å, with angles of 90.00, 124.68 and 90.00 degrees. The inequivalent atoms are Pm at (0.000, 0.000, 0.000), Pm at (0.191, 0.500, 0.692), Al at (0.000, 0.000, 0.500), Al at (0.004, 0.500, 0.293), Al at (0.151, 0.000, 0.423), Al at (0.180, 0.500, 0.026), Pd at (0.119, 0.000, 0.845) and Pd at (0.160, 0.500, 0.286).

***

Entry 4:
BeCI3 | PBE | optimized geometry

Its volume is 29.02 A^3/atom. Its formation energy without anion corrections is 1509 meV per atom. As for the offset from the most stable computed form: 0 meV/atom.

The space group is Pm-3m (No. 221) and the conventional cell measures 5.255, 5.255 and 5.255 Å, with angles of 90.00, 90.00 and 90.00 degrees. The inequivalent atoms are Be at (0.000, 0.000, 0.000), C at (0.500, 0.500, 0.500) and I at (0.000, 0.000, 0.500).

***

Entry 5:
LiLaPuSe3 | PBE | optimized geometry

Its volume is 25.85 A^3/atom. Its formation energy without anion corrections is -1616 meV per atom.

The space group is P2_1/m (No. 11) and the conventional cell measures 8.588, 4.114 and 8.998 Å, with angles of 90.00, 102.60 and 90.00 degrees. The inequivalent atoms are Li at (0.088, 0.250, 0.085), La at (0.182, 0.250, 0.724), Pu at (0.335, 0.750, 0.336), Se at (0.098, 0.250, 0.367), Se at (0.215, 0.750, 0.996) and Se at (0.425, 0.750, 0.671).

***

Entry 6:
Tc2Te4Br3 | PBE | optimized geometry

Its volume is 32.26 A^3/atom. Its formation energy without anion corrections is -105 meV per atom.

The space group is C2/c (No. 15) and the conventional cell measures 18.936, 6.801 and 9.753 Å, with angles of 90.00, 112.39 and 90.00 degrees. The inequivalent atoms are Tc at (0.247, 0.049, 0.041), Te at (0.138, 0.304, 0.018), Te at (0.192, 0.158, 0.751), Br at (0.000, 0.264, 0.750) and Br at (0.155, 0.248, 0.398).

***

Entry 7:
Pa6GeTe3P2 | PBE | optimized geometry

Its volume is 25.83 A^3/atom. Its formation energy without anion corrections is -878 meV per atom.

The space group is C2/m (No. 12) and the conventional cell measures 7.077, 12.271 and 7.520 Å, with angles of 90.00, 108.31 and 90.00 degrees. The inequivalent atoms are Pa at (0.222, 0.000, 0.208), Pa at (0.244, 0.327, 0.213), Ge at (0.000, 0.500, 0.000), Te at (0.000, 0.000, 0.500), Te at (0.000, 0.339, 0.500) and P at (0.000, 0.168, 0.000).

***

Entry 8:
Na3Sb5 | PBE | optimized geometry

Its volume is 31.21 A^3/atom. Its formation energy without anion corrections is -161 meV per atom.

The space group is Fdd2 (No. 43) and the conventional cell measures 6.834, 20.332 and 14.377 Å, with angles of 90.00, 90.00 and 90.00 degrees. The inequivalent atoms are Na at (0.000, 0.000, 0.000), Na at (0.039, 0.332, 0.002), Sb at (0.000, 0.000, 0.573), Sb at (0.030, 0.334, 0.417) and Sb at (0.101, 0.304, 0.613).